Entry 1:
# PBE-GGA NaTbCl2, relaxed
data_NaTbCl2
_symmetry_space_group_name_H-M 'R -3 m'
_symmetry_Int_Tables_number 166
_symmetry_space_group_name_Hall '-R 3 2"'
_cell_length_a 3.6434
_cell_length_b 3.6434
_cell_length_c 29.6667
_cell_angle_alpha 90.00
_cell_angle_beta 90.00
_cell_angle_gamma 120.00
loop_
_atom_site_label
_atom_site_type_symbol
_atom_site_fract_x
_atom_site_fract_y
_atom_site_fract_z
Na1 Na 0.0000 0.0000 0.0000
Tb1 Tb 0.0000 0.0000 0.5000
Cl1 Cl 0.0000 0.0000 0.1050
# Energy relative to the elements, uncorrected (eV per atom): -1.403
# Electronic total energy (eV/atom): -3.814
# Magnetization (μB per formula unit): 0.00
# Density of states at the Fermi level (states/eV per atom): 0.6437

=====

Entry 2:
# PBE-GGA Ca4Ga3, relaxed
data_Ca4Ga3
_symmetry_space_group_name_H-M 'R -3 m'
_symmetry_Int_Tables_number 166
_symmetry_space_group_name_Hall '-R 3 2"'
_cell_length_a 5.1714
_cell_length_b 5.1714
_cell_length_c 25.5123
_cell_angle_alpha 90.00
_cell_angle_beta 90.00
_cell_angle_gamma 120.00
loop_
_atom_site_label
_atom_site_type_symbol
_atom_site_fract_x
_atom_site_fract_y
_atom_site_fract_z
Ca1 Ca 0.0000 0.0000 0.1242
Ca2 Ca 0.0000 0.0000 0.3748
Ga1 Ga 0.0000 0.0000 0.2479
Ga2 Ga 0.0000 0.0000 0.5000
# Electronic total energy (eV/atom): -2.797
# Magnetization (μB per formula unit): 0.00
# E_form (meV/atom): -356
# Density of states at the Fermi level (states/eV per atom): 0.8419